VASP calculation (PBE with a Hubbard U) on a relaxed structure of La2NiF8.

Calculated values
Electronic total energy ... -6.002 eV per atom
Calculated volume ... 12.7 Å³/atom
Fermi-level density of states ... 0.00 states/eV/cell

Geometry as CIF:
```
data_La2NiF8
_symmetry_space_group_name_H-M 'C 1 2/m 1'
_symmetry_Int_Tables_number 12
_cell_length_a 13.849
_cell_length_b 4.148
_cell_length_c 5.252
_cell_angle_alpha 90.00
_cell_angle_beta 111.94
_cell_angle_gamma 90.00
loop_
_symmetry_equiv_pos_as_xyz
'x,y,z'
'-x,-y,-z'
'-x,y,-z'
'x,-y,z'
'x+1/2,y+1/2,z'
'-x+1/2,-y+1/2,-z'
'-x+1/2,y+1/2,-z'
'x+1/2,-y+1/2,z'
loop_
_atom_site_label
_atom_site_fract_x
_atom_site_fract_y
_atom_site_fract_z
La1 0.160 0.000 0.160
Ni1 0.000 0.500 0.500
F1 0.010 0.000 0.271
F2 0.092 0.500 0.894
F3 0.145 0.500 0.444
F4 0.219 0.000 0.786
```